Er4TlInB2 | PBE-GGA | relaxed

a = 3.5949 Å, b = 3.5949 Å, c = 16.7910 Å
α = 90.00°, β = 90.00°, γ = 120.00°
Space group P-6m2 (No. 187)
Symmetry-distinct sites (fractional):
Er  0.0000  0.0000  0.1585
Er  0.3333  0.6667  0.3412
Tl  0.0000  0.0000  0.5000
In  0.3333  0.6667  0.0000
B  0.6667  0.3333  0.2501

Properties
total moment: 0.002 μB per atom
density: 8.9 g/cm3
E: -4.7129 eV per atom



Lu2Ta4Fe3C3 | PBE-GGA | relaxed

a = 9.4491 Å, b = 5.4747 Å, c = 13.5660 Å
α = 90.00°, β = 103.92°, γ = 90.00°
Space group C2/c (No. 15)
Symmetry-distinct sites (fractional):
Lu  0.0397  0.0830  0.3762
Ta  0.1145  0.4089  0.5908
Ta  0.2240  0.4183  0.9089
Fe  0.0000  0.4223  0.7500
Fe  0.2476  0.1625  0.7503
C  0.0851  0.2561  0.9994
C  0.2500  0.2500  0.5000

Properties
total moment: 0.296 μB per atom
density: 12.5 g/cm3
E: -9.4721 eV per atom



Tl2TcHgF6 | PBE-GGA | relaxed

a = 9.0319 Å, b = 9.0319 Å, c = 9.0319 Å
α = 90.00°, β = 90.00°, γ = 90.00°
Space group Fm-3m (No. 225)
Symmetry-distinct sites (fractional):
Tl  0.2500  0.2500  0.2500
Tc  0.0000  0.0000  0.0000
Hg  0.0000  0.0000  0.5000
F  0.0000  0.0000  0.2156

Properties
total moment: 0.300 μB per atom
density: 7.4 g/cm3
E: -4.3584 eV per atom



ZrTaSi | PBE-GGA | relaxed

a = 5.2069 Å, b = 8.8355 Å, c = 9.1785 Å
α = 90.00°, β = 90.00°, γ = 90.00°
Space group Fmmm (No. 69)
Symmetry-distinct sites (fractional):
Zr  0.0000  0.1601  0.0000
Ta  0.0000  0.0000  0.3414
Si  0.2500  0.2500  0.2500

Properties
total moment: 0.002 μB per atom
density: 9.4 g/cm3
E: -9.2726 eV per atom



HfFeNiB | PBE-GGA | relaxed

a = 5.8355 Å, b = 5.8355 Å, c = 5.8355 Å
α = 90.00°, β = 90.00°, γ = 90.00°
Space group F-43m (No. 216)
Symmetry-distinct sites (fractional):
Hf  0.0000  0.0000  0.0000
Fe  0.2500  0.2500  0.7500
Ni  0.0000  0.0000  0.5000
B  0.2500  0.2500  0.2500

Properties
total moment: 0.631 μB per atom
density: 10.2 g/cm3
E: -7.4343 eV per atom
relative energy among the computed polymorphs: 0.56 eV per formula unit



TaTeCl9 | PBE-GGA | relaxed

a = 6.4523 Å, b = 9.3862 Å, c = 11.3487 Å
α = 73.87°, β = 73.61°, γ = 89.27°
Space group P-1 (No. 2)
Symmetry-distinct sites (fractional):
Ta  0.0727  0.2601  0.2930
Te  0.3677  0.3316  0.8347
Cl  0.0119  0.3046  0.0838
Cl  0.0612  0.4931  0.7078
Cl  0.1471  0.2527  0.4807
Cl  0.1825  0.1155  0.8373
Cl  0.2313  0.0441  0.2755
Cl  0.2713  0.8506  0.6127
Cl  0.3913  0.8008  0.0625
Cl  0.4048  0.6377  0.3725
Cl  0.4286  0.3946  0.1694

Properties
total moment: 0.001 μB per atom
density: 3.3 g/cm3
E: -3.8640 eV per atom
relative energy among the computed polymorphs: 0.10 eV per formula unit



Ba2CdTcSe6 | PBE-GGA | relaxed

a = 6.8300 Å, b = 6.8300 Å, c = 11.9232 Å
α = 90.00°, β = 90.00°, γ = 90.00°
Space group I4/m (No. 87)
Symmetry-distinct sites (fractional):
Ba  0.0000  0.5000  0.2500
Cd  0.0000  0.0000  0.0000
Tc  0.0000  0.0000  0.5000
Se  0.0000  0.0000  0.2758
Se  0.1281  0.6520  0.5000

Properties
total moment: 0.262 μB per atom
density: 5.7 g/cm3
E: -4.4749 eV per atom
relative energy among the computed polymorphs: 0.00 eV per formula unit



ErZr | PBE-GGA | relaxed

a = 6.7590 Å, b = 5.3358 Å, c = 8.9996 Å
α = 90.00°, β = 100.87°, γ = 90.00°
Space group P2_1/m (No. 11)
Symmetry-distinct sites (fractional):
Er  0.0247  0.2500  0.1174
Er  0.3090  0.7500  0.2373
Er  0.4666  0.7500  0.8823
Zr  0.1321  0.7500  0.5509
Zr  0.1890  0.2500  0.7577
Zr  0.3576  0.2500  0.4569

Properties
total moment: 0.000 μB per atom
density: 8.1 g/cm3
E: -6.5126 eV per atom



YZnCoSn | PBE-GGA | relaxed

a = 6.6683 Å, b = 6.6683 Å, c = 6.6683 Å
α = 90.00°, β = 90.00°, γ = 90.00°
Space group F-43m (No. 216)
Symmetry-distinct sites (fractional):
Y  0.0000  0.0000  0.0000
Zn  0.2500  0.2500  0.7500
Co  0.0000  0.0000  0.5000
Sn  0.2500  0.2500  0.2500

Properties
total moment: 0.064 μB per atom
density: 7.4 g/cm3
E: -4.8260 eV per atom
relative energy among the computed polymorphs: 0.36 eV per formula unit



SrLu2Ir | PBE-GGA | relaxed

a = 7.3514 Å, b = 7.3514 Å, c = 7.3514 Å
α = 90.00°, β = 90.00°, γ = 90.00°
Space group F-43m (No. 216)
Symmetry-distinct sites (fractional):
Sr  0.0000  0.0000  0.0000
Lu  0.0000  0.0000  0.5000
Lu  0.2500  0.2500  0.7500
Ir  0.2500  0.2500  0.2500

Properties
total moment: 0.001 μB per atom
density: 10.5 g/cm3
E: -4.7542 eV per atom



Zn4Cd3 | PBE-GGA | relaxed

a = 7.6045 Å, b = 7.6045 Å, c = 4.8911 Å
α = 90.00°, β = 90.00°, γ = 120.00°
Space group P6_3/m (No. 176)
Symmetry-distinct sites (fractional):
Zn  0.0479  0.2249  0.2500
Zn  0.3333  0.6667  0.2500
Cd  0.0904  0.4640  0.7500

Properties
density: 8.1 g/cm3
E: -1.0314 eV per atom



Na2ScZn | PBE-GGA | relaxed

a = 7.2051 Å, b = 7.2051 Å, c = 7.2051 Å
α = 90.00°, β = 90.00°, γ = 90.00°
Space group F-43m (No. 216)
Symmetry-distinct sites (fractional):
Na  0.0000  0.0000  0.0000
Na  0.2500  0.2500  0.2500
Sc  0.2500  0.2500  0.7500
Zn  0.0000  0.0000  0.5000

Properties
total moment: 0.251 μB per atom
density: 2.8 g/cm3
E: -2.2970 eV per atom



PrDy | PBE-GGA | relaxed

a = 7.0956 Å, b = 7.0956 Å, c = 7.0956 Å
α = 90.00°, β = 90.00°, γ = 90.00°
Space group F-43m (No. 216)
Symmetry-distinct sites (fractional):
Pr  0.0000  0.0000  0.0000
Dy  0.2500  0.2500  0.2500

Properties
total moment: 0.007 μB per atom
density: 5.6 g/cm3
E: -2.9829 eV per atom
relative energy among the computed polymorphs: 3.34 eV per formula unit



KTb | PBE-GGA | relaxed

a = 8.6253 Å, b = 8.6253 Å, c = 8.6253 Å
α = 90.00°, β = 90.00°, γ = 90.00°
Space group F-43m (No. 216)
Symmetry-distinct sites (fractional):
K  0.0000  0.0000  0.0000
Tb  0.2500  0.2500  0.7500

Properties
total moment: 0.997 μB per atom
density: 2.0 g/cm3
E: -1.0300 eV per atom



Lu2GeMo | PBE-GGA | relaxed

a = 6.8305 Å, b = 6.8305 Å, c = 6.8305 Å
α = 90.00°, β = 90.00°, γ = 90.00°
Space group F-43m (No. 216)
Symmetry-distinct sites (fractional):
Lu  0.0000  0.0000  0.0000
Lu  0.2500  0.2500  0.2500
Ge  0.0000  0.0000  0.5000
Mo  0.2500  0.2500  0.7500

Properties
total moment: 0.479 μB per atom
density: 10.8 g/cm3
E: -6.0495 eV per atom



Li2UBr6 | PBE-GGA | relaxed

a = 6.9328 Å, b = 11.9744 Å, c = 13.0323 Å
α = 90.00°, β = 90.03°, γ = 90.00°
Space group C2/c (No. 15)
Symmetry-distinct sites (fractional):
Li  0.0000  0.0002  0.2500
Li  0.0000  0.3332  0.2500
U  0.0000  0.3333  0.7500
Br  0.1646  0.1666  0.3687
Br  0.1677  0.1659  0.8685
Br  0.1678  0.4992  0.3686

Properties
total moment: 0.226 μB per atom
density: 4.5 g/cm3
E: -4.2032 eV per atom
relative energy among the computed polymorphs: 0.00 eV per formula unit



KTcPO | PBE-GGA | relaxed

a = 4.1330 Å, b = 4.1330 Å, c = 9.9664 Å
α = 90.00°, β = 90.00°, γ = 90.00°
Space group P4/nmm (No. 129, origin choice 2)
Symmetry-distinct sites (fractional):
K  0.2500  0.2500  0.1585
Tc  0.2500  0.7500  0.5000
P  0.2500  0.2500  0.6071
O  0.2500  0.7500  0.0000

Properties
total moment: 0.160 μB per atom
density: 3.6 g/cm3
E: -5.7077 eV per atom
relative energy among the computed polymorphs: 1.79 eV per formula unit



TaCuSiHg | PBE-GGA | relaxed

a = 6.4247 Å, b = 6.4247 Å, c = 6.4247 Å
α = 90.00°, β = 90.00°, γ = 90.00°
Space group F-43m (No. 216)
Symmetry-distinct sites (fractional):
Ta  0.0000  0.0000  0.0000
Cu  0.0000  0.0000  0.5000
Si  0.2500  0.2500  0.2500
Hg  0.2500  0.2500  0.7500

Properties
total moment: 0.000 μB per atom
density: 11.9 g/cm3
E: -4.8522 eV per atom
relative energy among the computed polymorphs: 0.00 eV per formula unit



BaGaW | PBE-GGA | relaxed

a = 7.0276 Å, b = 7.0276 Å, c = 7.0276 Å
α = 90.00°, β = 90.00°, γ = 90.00°
Space group F-43m (No. 216)
Symmetry-distinct sites (fractional):
Ba  0.0000  0.0000  0.0000
Ga  0.2500  0.2500  0.2500
W  0.0000  0.0000  0.5000

Properties
total moment: 0.901 μB per atom
density: 7.5 g/cm3
E: -4.6786 eV per atom
relative energy among the computed polymorphs: 0.00 eV per formula unit



InCo8 | PBE-GGA | relaxed

a = 7.8381 Å, b = 3.4945 Å, c = 28.3836 Å
α = 90.00°, β = 90.05°, γ = 90.00°
Space group C2/m (No. 12)
Symmetry-distinct sites (fractional):
In  0.0479  0.0000  0.2491
Co  0.0493  0.5000  0.4032
Co  0.0489  0.5000  0.6791
Co  0.0510  0.0000  0.5416
Co  0.1485  0.0000  0.6246
Co  0.1500  0.5000  0.4861
Co  0.1523  0.0000  0.3481
Co  0.2482  0.0000  0.4307
Co  0.2498  0.0000  0.7053

Properties
total moment: 1.394 μB per atom
density: 5.0 g/cm3
E: -6.4856 eV per atom